This record from Alexandria describes a relaxed Ta2AgI crystal. The functional is PBE-GGA.

a = 4.051 Å, b = 4.051 Å, c = 10.784 Å
α = 79.17°, β = 79.17°, γ = 90.00°
Sites, in units of the cell vectors:
I: 0.000 0.000 0.000
I: 0.750 0.250 0.500
Ag: 0.500 0.500 0.000
Ag: 0.250 0.750 0.500
Ta: 0.618 0.125 0.250
Ta: 0.132 0.625 0.250
Ta: 0.375 0.382 0.750
Ta: 0.875 0.868 0.750

Results
Polymorph energy (0 for the lowest one) in eV per atom: 0.056
E_form (uncorrected) in eV/atom: 0.952
Space group: No. 122

This record from Alexandria describes a relaxed ZrScTiTl crystal. The functional is PBE-GGA.

a = 4.984 Å, b = 4.984 Å, c = 4.984 Å
α = 60.00°, β = 60.00°, γ = 60.00°
Each line ends with the local moment (μB).
Sites, in units of the cell vectors:
Sc: 0.250 0.250 0.250  0.24
Tl: 0.000 0.000 0.000  -0.03
Zr: 0.750 0.750 0.750  0.44
Ti: 0.500 0.500 0.500  1.52

Results
Space group: No. 216
Energy relative to the elements in eV/atom: 0.03

This record from Alexandria describes a relaxed Na3Tm2PuTe6 crystal. The functional is PBE-GGA.

a = 7.675 Å, b = 7.675 Å, c = 7.950 Å
α = 99.27°, β = 99.27°, γ = 120.00°
Each line ends with the local moment (μB).
Sites, in units of the cell vectors:
Na: 0.164 0.836 0.500  0.00
Na: 0.836 0.164 0.500  0.00
Na: 0.500 0.500 0.500  0.00
Tm: 0.333 0.667 0.000  0.01
Tm: 0.667 0.333 0.000  0.01
Pu: 0.000 0.000 0.000  5.19
Te: 0.923 0.582 0.769  -0.04
Te: 0.736 0.736 0.231  -0.04
Te: 0.077 0.418 0.231  -0.04
Te: 0.582 0.923 0.769  -0.04
Te: 0.264 0.264 0.769  -0.04
Te: 0.418 0.077 0.231  -0.04

Results
E_form (uncorrected) in eV/atom: -1.193
Space group: No. 12

The electronic total energy results, record by record, are as follows: -6.07 -6.26 -5.03 eV per atom.